[1]
A plane-wave DFT calculation with PBE was carried out for crystalline ThNpCd2O8 at its relaxed geometry.

Values from the calculation:
The calculation puts the volume at 182 Å³/cell. For the density of states at the Fermi level, the calculation gives 5.2 states/eV per cell. For the total DFT energy (no corrections), the calculation gives -87.620 eV per formula unit. The size of the total moment is 0.67 μB/cell.

a = 5.020 Å, b = 5.025 Å, c = 7.227 Å
α = 90.00°, β = 90.00°, γ = 91.01°
Atoms (fractional coordinates):
Th  0.000  0.000  0.500
Np  0.000  0.000  0.000
Cd  0.500  0.500  0.755
Cd  0.500  0.500  0.245
O  0.180  0.819  0.222
O  0.721  0.722  0.000
O  0.820  0.181  0.222
O  0.820  0.181  0.778
O  0.279  0.278  0.000
O  0.180  0.819  0.778
O  0.693  0.695  0.500
O  0.307  0.305  0.500

[2]
A plane-wave DFT calculation with PBE was carried out for crystalline CsTeI6 at its relaxed geometry.

Values from the calculation:
The calculation puts the volume at 401 Å³/cell. For the density of states at the Fermi level, the calculation gives 6.0 states/eV per cell. For the total DFT energy (no corrections), the calculation gives -16.476 eV per formula unit. The size of the total moment is 0.00 μB/cell.

a = 7.883 Å, b = 7.513 Å, c = 7.513 Å
α = 72.62°, β = 78.67°, γ = 101.33°
Atoms (fractional coordinates):
Cs  0.500  0.500  0.500
Te  0.000  0.000  0.000
I  0.282  0.278  0.063
I  0.282  0.937  0.722
I  0.718  0.063  0.278
I  0.718  0.722  0.937
I  0.053  0.676  0.324
I  0.947  0.324  0.676

[3]
A plane-wave DFT calculation with PBE was carried out for crystalline Sm12Sn3O5 at its relaxed geometry.

Values from the calculation:
The calculation puts the volume at 2031 Å³/cell. For the density of states at the Fermi level, the calculation gives 74.5 states/eV per cell. For the total DFT energy (no corrections), the calculation gives -125.625 eV per formula unit. The size of the total moment is 2.06 μB/cell.

a = 13.819 Å, b = 13.819 Å, c = 13.819 Å
α = 109.47°, β = 109.47°, γ = 109.47°
Atoms (fractional coordinates):
Sn  0.750  0.375  0.125
Sn  0.875  0.750  0.125
Sn  0.375  0.750  0.625
Sn  0.250  0.125  0.375
Sn  0.875  0.125  0.250
Sn  0.375  0.625  0.250
Sn  0.625  0.375  0.750
Sn  0.125  0.875  0.750
Sn  0.750  0.875  0.625
Sn  0.625  0.250  0.375
Sn  0.125  0.250  0.875
Sn  0.250  0.625  0.875
O  0.125  0.375  0.250
O  0.000  0.500  0.000
O  0.000  0.000  0.000
O  0.375  0.250  0.125
O  0.500  0.000  0.500
O  0.500  0.500  0.000
O  0.125  0.750  0.375
O  0.750  0.125  0.875
O  0.750  0.625  0.375
O  0.375  0.125  0.750
O  0.625  0.875  0.250
O  0.500  0.500  0.500
O  0.500  0.000  0.000
O  0.000  0.000  0.500
O  0.250  0.375  0.625
O  0.250  0.875  0.125
O  0.000  0.500  0.500
O  0.875  0.250  0.625
O  0.625  0.750  0.875
O  0.875  0.625  0.750
Sm  0.697  0.108  0.010
Sm  0.313  0.510  0.402
Sm  0.990  0.392  0.303
Sm  0.510  0.197  0.108
Sm  0.589  0.697  0.687
Sm  0.990  0.598  0.187
Sm  0.313  0.803  0.411
Sm  0.098  0.911  0.108
Sm  0.598  0.990  0.687
Sm  0.697  0.589  0.187
Sm  0.803  0.490  0.392
Sm  0.813  0.902  0.010
Sm  0.108  0.697  0.510
Sm  0.392  0.402  0.089
Sm  0.089  0.902  0.392
Sm  0.411  0.108  0.598
Sm  0.089  0.187  0.197
Sm  0.490  0.687  0.098
Sm  0.813  0.911  0.303
Sm  0.108  0.411  0.098
Sm  0.392  0.990  0.803
Sm  0.598  0.608  0.411
Sm  0.902  0.813  0.510
Sm  0.803  0.313  0.911
Sm  0.402  0.392  0.589
Sm  0.098  0.187  0.490
Sm  0.197  0.687  0.089
Sm  0.187  0.089  0.697
Sm  0.608  0.010  0.197
Sm  0.892  0.589  0.902
Sm  0.510  0.313  0.902
Sm  0.589  0.892  0.402
Sm  0.911  0.813  0.803
Sm  0.911  0.098  0.608
Sm  0.892  0.303  0.490
Sm  0.187  0.098  0.990
Sm  0.608  0.598  0.911
Sm  0.402  0.010  0.313
Sm  0.303  0.411  0.813
Sm  0.197  0.510  0.608
Sm  0.902  0.089  0.892
Sm  0.687  0.197  0.589
Sm  0.490  0.803  0.892
Sm  0.010  0.402  0.813
Sm  0.411  0.303  0.313
Sm  0.010  0.608  0.697
Sm  0.687  0.490  0.598
Sm  0.303  0.892  0.990

Q: Which of these has the lowest total DFT energy (no corrections)?
A: Sm12Sn3O5